No. 1
This record from the Alexandria database describes a relaxed structure of LiCe5S8. The functional is PBE.

abc: 7.352 7.352 7.352
angles: 109.89 108.64 109.89
Site moments in Bohr magnetons follow the coordinates.
Fractional positions:
1 S 0.134 0.750 0.025  -0.03
2 S 0.615 0.890 0.866  -0.03
3 S 0.483 0.601 0.241  -0.03
4 S 0.275 0.250 0.385  -0.03
5 S 0.640 0.399 0.882  -0.03
6 S 0.118 0.758 0.517  -0.03
7 S 0.759 0.242 0.360  -0.03
8 S 0.975 0.110 0.725  -0.03
9 Li 0.250 0.500 0.750  0.00
10 Ce 0.500 0.000 0.500  0.91
11 Ce 0.752 0.622 0.632  0.91
12 Ce 0.009 0.378 0.130  0.91
13 Ce 0.870 0.880 0.248  0.91
14 Ce 0.368 0.120 0.991  0.91

Properties
Calculated total energy = -6.54 eV/atom
Raw formation energy = -1.9292 eV/atom


No. 2
This record from the Alexandria database describes a relaxed structure of CaSm2Ho3Te6. The functional is PBE.

abc: 4.385 8.822 9.854
angles: 103.25 102.86 90.00
Fractional positions:
1 Te 0.667 0.077 0.334
2 Te 0.001 0.747 0.001
3 Te 0.662 0.588 0.323
4 Te 0.999 0.253 0.999
5 Te 0.338 0.412 0.677
6 Te 0.333 0.923 0.666
7 Ho 0.169 0.827 0.338
8 Ho 0.831 0.173 0.662
9 Ho 0.500 0.500 0.000
10 Sm 0.827 0.656 0.654
11 Sm 0.173 0.344 0.346
12 Ca 0.500 0.000 0.000

Properties
Calculated total energy = -5.03 eV/atom
Raw formation energy = -1.3612 eV/atom


No. 3
This record from the Alexandria database describes a relaxed structure of LiNd2Al5. The functional is PBE.

abc: 6.238 6.238 6.238
angles: 88.88 120.65 120.65
Fractional positions:
1 Li 0.000 0.778 0.778
2 Nd 0.500 0.778 0.278
3 Nd 0.500 0.278 0.778
4 Al 0.501 0.278 0.278
5 Al 0.000 0.278 0.777
6 Al 0.499 0.777 0.777
7 Al 0.000 0.277 0.277
8 Al 0.000 0.777 0.278

Properties
Energy of formation from the pure elements = -0.31 eV per atom
Calculated total energy = -4.08 eV/atom


No. 4
This record from the Alexandria database describes a relaxed structure of H2PbBr. The functional is PBE.

abc: 4.813 4.813 7.155
angles: 70.35 70.35 90.00
Fractional positions:
1 Pb 0.000 0.000 0.000
2 Pb 0.750 0.250 0.500
3 Br 0.500 0.500 0.000
4 Br 0.250 0.750 0.500
5 H 0.375 0.126 0.750
6 H 0.874 0.125 0.250
7 H 0.875 0.124 0.750
8 H 0.876 0.625 0.250

Properties
Calculated total energy = -2.84 eV/atom
E above lowest polymorph = 0.00 kcal/mol of atoms


No. 5
This record from the Alexandria database describes a relaxed structure of Tm7Ir2Ru2. The functional is PBE.

abc: 6.416 6.757 6.416
angles: 90.03 104.21 89.97
Fractional positions:
1 Ir 0.282 0.000 0.718
2 Ir 0.718 0.000 0.282
3 Tm 0.500 0.738 0.500
4 Tm 0.500 0.272 0.000
5 Tm 0.000 0.000 0.000
6 Tm 0.500 0.728 0.000
7 Tm 0.000 0.272 0.500
8 Tm 0.500 0.262 0.500
9 Tm 0.000 0.728 0.500
10 Ru 0.818 0.500 0.818
11 Ru 0.182 0.500 0.182

Properties
Energy of formation from the pure elements = -0.37 eV per atom
Calculated total energy = -6.51 eV/atom


No. 6
This record from the Alexandria database describes a relaxed structure of Tb5Mg4Cu. The functional is PBE.

abc: 3.681 3.681 19.211
angles: 90.00 90.00 90.00
Fractional positions:
1 Tb 0.500 0.500 0.914
2 Tb 0.500 0.500 0.707
3 Tb 0.500 0.500 0.086
4 Tb 0.500 0.500 0.293
5 Tb 0.500 0.500 0.500
6 Mg 0.000 0.000 0.396
7 Mg 0.000 0.000 0.604
8 Mg 0.000 0.000 0.808
9 Mg 0.000 0.000 0.192
10 Cu 0.000 0.000 0.000

Properties
Energy of formation from the pure elements = -0.10 eV per atom
Calculated total energy = -3.46 eV/atom